Record 1
A geometry-optimized La3Ni2Rh7 structure. Source: Alexandria, functional GGA-PBE.

Cell lengths 5.3547, 5.3547, 9.1744 Å; angles 73.03, 73.03, 60.00 degrees
Element x y z (fractional)
Rh  0.5000  0.5000  0.5000
Rh  0.5789  0.0777  0.7644
La  0.1390  0.1390  0.5829
La  0.8610  0.8610  0.4171
Rh  0.4211  0.9223  0.2356
Rh  0.4211  0.4211  0.2356
Ni  0.6669  0.6669  0.9992
Ni  0.3331  0.3331  0.0008
Rh  0.0777  0.5789  0.7644
Rh  0.9223  0.4211  0.2356
Rh  0.5789  0.5789  0.7644
La  0.0000  0.0000  0.0000

Results
Symmetry: R-3m (166)
E, eV per cell: -84.2
Energy relative to the elements, meV/atom: -532.6

***

Record 2
A geometry-optimized TlCu2PdBr8 structure. Source: Alexandria, functional GGA-PBE.

Cell lengths 7.4799, 7.0288, 7.4870 Å; angles 89.98, 90.00, 99.03 degrees
Element x y z (fractional)
Br  0.8482  0.1899  0.2159
Br  0.1518  0.8101  0.7841
Br  0.1517  0.8101  0.2161
Pd  0.0000  0.0000  0.0000
Br  0.6641  0.6784  0.5000
Cu  0.4998  0.5000  0.2432
Br  0.6652  0.6828  0.0001
Br  0.3359  0.3216  0.5000
Br  0.3348  0.3172  0.9999
Tl  0.0000  0.0000  0.5000
Cu  0.5002  0.5000  0.7568
Br  0.8483  0.1899  0.7839

Results
Symmetry: P2/m (10)
E, eV per cell: -33.1
Raw formation energy, eV/atom: -0.33

***

Record 3
A geometry-optimized HgAsSe2 structure. Source: Alexandria, functional GGA-PBE.

Cell lengths 6.0885, 7.9830, 2.6740 Å; angles 90.00, 63.94, 107.96 degrees
Element x y z (fractional)
Se  0.5000  0.0000  0.5000
Hg  0.5000  0.5000  0.0000
Se  0.0000  0.0000  0.0000
As  0.0000  0.5000  0.5000

Results
Symmetry: Cmmm (65)
E above lowest polymorph, meV per atom: 397
E, eV per cell: -10.6
Raw formation energy, eV/atom: 0.33

***

Record 4
A geometry-optimized Y2Tm3ScS6 structure. Source: Alexandria, functional GGA-PBE.

Cell lengths 3.8402, 7.7191, 8.5885 Å; angles 103.08, 102.92, 90.00 degrees
Element x y z (fractional)
Sc  0.5000  0.0000  0.0000
Tm  0.1684  0.8344  0.3369
Tm  0.5000  0.5000  0.0000
Y  0.8338  0.6674  0.6675
S  0.9974  0.2428  0.9949
Y  0.1662  0.3326  0.3325
S  0.3367  0.9234  0.6734
S  0.0026  0.7572  0.0051
Tm  0.8316  0.1656  0.6631
S  0.6633  0.0766  0.3266
S  0.6650  0.5873  0.3299
S  0.3350  0.4127  0.6701

Results
Symmetry: C2/m (12)
E, eV per cell: -80.7
Raw formation energy, eV/atom: -1.93

***

Calculated density: 9.7 4.6 6.6 6.3 (g/cm3)